TmTh2OsC4 | Alexandria | PBE | relaxed; ΔE_f = 5.9 kJ/mol of atoms; total energy = -133.890 eV for the cell shown; volume = 16.991 Å³/atom; total magnetization = 0.000 μB per atom; space-group type = Cmcm, No. 63
1.0
1.8066 -6.0623 0.0000
1.8066 6.0623 0.0000
0.0000 0.0000 12.4109
Tm Th Os C
2 4 2 8
Cartesian
1.8066 4.5408 9.3082
1.8066 -4.5408 3.1027
1.8066 1.6269 6.6693
1.8066 1.6269 11.9471
1.8066 -1.6269 0.4638
1.8066 -1.6269 5.7416
1.8066 4.2736 3.1027
1.8066 -4.2736 9.3082
0.0000 0.0000 0.0000
0.0000 0.0000 6.2055
1.8066 2.8453 1.7283
1.8066 2.8453 4.4771
1.8066 0.9013 9.3082
1.8066 -0.9013 3.1027
1.8066 -2.8453 7.9338
1.8066 -2.8453 10.6826